[1]
First-principles (PBE) data for a relaxed BaNaAs2Pd2 crystal, as listed in Alexandria via LeMat-Bulk.

a b c (Å): 4.287 4.287 9.132
angles (deg): 90.00 90.00 120.00
Sites, in units of the cell vectors:
Ba: 0.000 0.000 0.000
Na: 0.000 0.000 0.500
As: 0.667 0.333 0.736
As: 0.333 0.667 0.264
Pd: 0.667 0.333 0.276
Pd: 0.333 0.667 0.724

Values from the calculation:
As for the crystal system: trigonal.

[2]
First-principles (PBE) data for a relaxed BaNa2As2Pd crystal, as listed in Alexandria via LeMat-Bulk.

a b c (Å): 5.563 5.563 6.968
angles (deg): 113.53 113.53 90.00
Sites, in units of the cell vectors:
Ba: 0.500 0.500 0.000
Na: 0.250 0.750 0.500
Na: 0.750 0.250 0.500
As: 0.796 0.796 0.592
As: 0.204 0.204 0.408
Pd: 0.000 0.000 0.000

Values from the calculation:
As for the crystal system: tetragonal.

[3]
First-principles (PBE) data for a relaxed Ba2NaAs3Pt4 crystal, as listed in Alexandria via LeMat-Bulk.

a b c (Å): 4.533 4.533 10.633
angles (deg): 90.00 90.00 90.00
Sites, in units of the cell vectors:
Ba: 0.500 0.000 0.249
Ba: 0.000 0.500 0.751
Na: 0.500 0.500 0.500
As: 0.000 0.000 0.500
As: 0.500 0.000 0.878
As: 0.000 0.500 0.122
Pt: 0.500 0.500 0.000
Pt: 0.000 0.000 0.000
Pt: 0.500 0.000 0.642
Pt: 0.000 0.500 0.358

Values from the calculation:
As for the crystal system: tetragonal.

[4]
First-principles (PBE) data for a relaxed BaNaAs2Pt crystal, as listed in Alexandria via LeMat-Bulk.

a b c (Å): 6.597 5.808 6.541
angles (deg): 90.00 90.00 90.00
Sites, in units of the cell vectors:
Ba: 0.219 0.250 0.500
Ba: 0.781 0.750 0.500
Na: 0.609 0.750 0.000
Na: 0.391 0.250 0.000
As: 0.777 0.250 0.769
As: 0.777 0.250 0.231
As: 0.223 0.750 0.769
As: 0.223 0.750 0.231
Pt: 0.000 0.000 0.000
Pt: 0.000 0.500 0.000

Values from the calculation:
As for the crystal system: orthorhombic.

Calculated total energy (eV per atom)
-4.45 -3.58 -5.02 -4.39
D(E_F) (states/eV per cell)
4.28 3.51 5.08 3.77